# 1
{"formula": "NaTlIn2O", "functional": "PBE", "state": "relaxed", "n_ef_per_ev_fu": 2.16, "energy_ev_per_atom": -2.747, "density_g_cm3": 5.79, "e_form_raw_ev_per_atom": 0.077, "lattice": [[5.7860, 0.0000, 0.0000], [0.0000, 4.0510, 0.0000], [0.0000, 0.0000, 5.7860]], "species": ["In", "In", "Na", "O", "Tl"], "fractional_positions": [[0.5000, 0.0000, 0.0000], [0.0000, 0.0000, 0.5000], [0.0000, 0.0000, 0.0000], [0.0000, 0.5000, 0.0000], [0.5000, 0.5000, 0.5000]]}

***

# 2
{"formula": "Na3TmIn2O6", "functional": "PBE", "state": "relaxed", "n_ef_per_ev_fu": 0.00, "energy_ev_per_atom": -5.670, "density_g_cm3": 5.92, "e_form_raw_ev_per_atom": -2.032, "lattice": [[5.7188, -0.0020, 0.0021], [-2.8597, 4.9524, 0.0021], [-0.9517, -1.6478, 5.5782]], "species": ["O", "O", "O", "O", "O", "O", "Na", "Na", "Na", "In", "In", "Tm"], "fractional_positions": [[0.7354, 0.7354, 0.2148], [0.2646, 0.2646, 0.7852], [0.9288, 0.5929, 0.7862], [0.0712, 0.4071, 0.2138], [0.5929, 0.9288, 0.7862], [0.4071, 0.0712, 0.2138], [0.8289, 0.1711, 0.5000], [0.5000, 0.5000, 0.5000], [0.1711, 0.8289, 0.5000], [0.3335, 0.6665, 0.0000], [0.6665, 0.3335, 0.0000], [0.0000, 0.0000, 0.0000]]}

***

# 3
{"formula": "Na4Tm3InO8", "functional": "PBE", "state": "relaxed", "n_ef_per_ev_fu": 0.00, "energy_ev_per_atom": -6.365, "density_g_cm3": 6.48, "e_form_raw_ev_per_atom": -2.546, "lattice": [[6.6798, 0.0000, 0.0000], [0.0000, 6.7802, 0.0663], [-3.3399, -3.3357, 4.7268]], "species": ["Tm", "Tm", "Tm", "O", "O", "O", "O", "O", "O", "O", "O", "Na", "Na", "Na", "Na", "In"], "fractional_positions": [[0.5000, 0.5000, 0.5000], [0.0000, 0.5000, 0.5000], [0.5000, 0.5000, 0.0000], [0.7355, 0.7067, 0.4711], [0.7373, 0.7127, 0.9749], [0.2627, 0.2873, 0.0251], [0.7624, 0.2873, 0.5248], [0.7624, 0.2873, 0.0251], [0.2376, 0.7127, 0.4752], [0.2376, 0.7127, 0.9749], [0.2645, 0.2933, 0.5289], [0.5000, 0.0000, 0.0000], [0.5000, 0.0000, 0.5000], [0.0000, 0.0000, 0.0000], [0.0000, 0.0000, 0.5000], [0.0000, 0.5000, 0.0000]]}

***

# 4
{"formula": "NaU2InO8", "functional": "PBE", "state": "relaxed", "n_ef_per_ev_fu": 0.00, "energy_ev_per_atom": -8.056, "density_g_cm3": 8.25, "e_form_raw_ev_per_atom": -2.531, "lattice": [[-3.6230, 1.8244, 3.4803], [2.0263, -3.1885, 3.7808], [4.0918, 4.4797, -2.1929]], "species": ["O", "O", "O", "O", "O", "O", "O", "O", "In", "U", "U", "Na"], "fractional_positions": [[0.8632, 0.4365, 0.2773], [0.4141, 0.8408, 0.2773], [0.8915, 0.8489, 0.2145], [0.1511, 0.6770, 0.7855], [0.3230, 0.3656, 0.2145], [0.5635, 0.5859, 0.7227], [0.6344, 0.1085, 0.7855], [0.1592, 0.1368, 0.7227], [0.0000, 0.0000, 0.0000], [0.2500, 0.7500, 0.5000], [0.5000, 0.5000, 0.0000], [0.7500, 0.2500, 0.5000]]}